K2VF4 | PBE+U | relaxed

Computed properties:
Total magnetization in μB per cell: 3.00
Final energy in eV/cell: -36.5
Symmetry: No. 139

```
7
Lattice="-3.992 -0.430 -1.232 -1.082 -1.127 3.899 1.375 7.190 0.197" Properties=species:S:1:pos:R:3 pbc="T T T"
K -2.878 1.102 1.782
K -0.822 4.531 1.082
F -3.331 3.599 2.378
F -0.369 2.034 0.486
F -0.541 -0.563 1.949
F -1.996 -0.215 -0.616
V 0.000 0.000 0.000
```